NaZrH2O meta-GGA SCAN PBEsol geometry; raw total energy = -9.430 eV/atom; size of the total moment = 0.8 Bohr magnetons per cell; space group = P4/mmm (123); density = 2.79 g/cm³
1.0
-1.648 -0.880 -3.073
-2.905 -1.031 1.853
-2.258 5.640 -0.403
H O Zr Na
2 1 1 1
Cartesian
-1.453 -0.515 0.926
-0.824 -0.440 -1.537
-3.406 1.865 -0.812
0.000 0.000 0.000
-1.129 2.820 -0.202

***

Na2HOs meta-GGA SCAN PBEsol geometry; raw total energy = -20.117 eV/atom; size of the total moment = 2.7 Bohr magnetons per cell; space group = I-42d (122); density = 5.02 g/cm³
1.0
6.592 -2.587 0.000
-4.695 5.302 0.000
-0.949 -1.357 6.885
H Na Os
2 4 2
Cartesian
3.296 -1.294 3.443
0.949 1.357 0.000
0.260 2.344 2.313
1.163 -0.308 4.572
-2.133 0.986 5.756
2.608 -0.307 1.129
0.000 0.000 0.000
-2.347 2.651 3.443

***

Na3H7Os meta-GGA SCAN PBEsol geometry; raw total energy = -10.244 eV/atom; size of the total moment = 0.0 Bohr magnetons per cell; space group = P4_2/mnm (136); density = 3.87 g/cm³
1.0
5.158 0.000 0.000
0.000 9.412 0.000
0.000 0.000 9.412
H Na Os
28 12 4
Cartesian
2.579 7.778 1.634
2.579 7.756 4.094
0.000 8.801 6.363
3.623 5.660 3.753
2.579 5.318 1.657
1.044 0.954 0.954
3.591 2.264 2.264
1.535 3.753 5.660
0.000 3.049 0.612
0.000 3.072 3.072
4.114 8.459 8.459
4.114 0.954 0.954
1.044 8.459 8.459
3.623 3.753 5.660
0.000 0.612 3.049
4.146 6.970 2.442
1.567 7.148 7.148
0.000 6.363 8.801
3.591 7.148 7.148
1.567 2.264 2.264
1.012 2.442 6.970
1.012 6.970 2.442
1.535 5.660 3.753
2.579 4.094 7.756
2.579 1.657 5.318
2.579 1.634 7.778
0.000 6.341 6.341
4.146 2.442 6.970
2.579 6.562 9.114
0.000 1.103 8.310
0.000 8.310 1.103
0.000 7.556 4.407
0.000 4.407 7.556
2.579 3.603 3.603
0.000 5.005 1.856
2.579 2.850 0.299
2.579 5.809 5.809
0.000 1.856 5.005
2.579 0.299 2.850
2.579 9.114 6.562
2.579 2.819 6.593
2.579 6.593 2.819
0.000 1.887 1.887
0.000 7.525 7.525

***

Na2PH2 meta-GGA SCAN PBEsol geometry; raw total energy = -5.112 eV/atom; size of the total moment = 0.0 Bohr magnetons per cell; space group = I4/mmm (139); density = 1.82 g/cm³
1.0
-0.788 3.776 2.403
-2.820 -3.358 1.193
4.181 -1.615 0.750
H Na P
2 2 1
Cartesian
0.401 -1.467 0.573
0.960 -3.506 1.370
-1.464 -1.034 2.284
2.037 -0.163 2.062
0.000 0.000 0.000

***

NaRe2PH meta-GGA SCAN PBEsol geometry; raw total energy = -31.287 eV/atom; size of the total moment = 0.0 Bohr magnetons per cell; space group = P4/mmm (123); density = 11.84 g/cm³
1.0
-3.767 0.625 0.381
-0.316 -3.191 2.107
0.701 2.161 3.378
Na P Re H
1 1 2 1
Cartesian
0.350 1.081 1.689
-1.691 -0.202 2.933
-0.158 -1.596 1.054
-1.883 0.313 0.191
0.000 0.000 0.000

***

NaSi2PH meta-GGA SCAN PBEsol geometry; raw total energy = -5.583 eV/atom; size of the total moment = 0.9 Bohr magnetons per cell; space group = P4/mmm (123); density = 1.59 g/cm³
1.0
-4.688 0.656 -0.322
-0.054 -2.482 -4.274
-0.760 -4.220 2.460
H Na Si P
1 1 2 1
Cartesian
-2.751 -3.023 -1.068
0.000 0.000 0.000
-0.027 -1.241 -2.137
-0.380 -2.110 1.230
-2.344 0.328 -0.161

***

Na2H2Pb meta-GGA SCAN PBEsol geometry; raw total energy = -18.154 eV/atom; size of the total moment = 0.0 Bohr magnetons per cell; space group = P4/mbm (127); density = 5.00 g/cm³
1.0
3.362 0.000 0.000
0.000 7.103 0.000
0.000 0.000 7.103
H Pb Na
4 2 4
Cartesian
0.000 2.431 5.983
0.000 1.120 2.431
0.000 5.983 4.671
0.000 4.671 1.120
0.000 0.000 0.000
0.000 3.551 3.551
1.681 6.029 2.477
1.681 4.625 6.029
1.681 2.477 1.074
1.681 1.074 4.625

***

Na2H4Pd meta-GGA SCAN PBEsol geometry; raw total energy = -8.195 eV/atom; size of the total moment = 0.0 Bohr magnetons per cell; space group = I4/mmm (139); density = 2.99 g/cm³
1.0
-2.004 3.519 2.732
-2.982 -2.137 -3.226
1.353 -4.035 2.399
H Na Pd
4 2 1
Cartesian
0.384 -3.611 1.142
-2.373 -2.846 0.868
-1.260 0.194 1.036
-2.013 -2.561 -1.969
-2.900 -0.852 -0.454
-0.733 -1.801 2.359
0.000 0.000 0.000

***

Na2H2Pd meta-GGA SCAN PBEsol geometry; raw total energy = -9.953 eV/atom; size of the total moment = 0.0 Bohr magnetons per cell; space group = I4/mmm (139); density = 3.75 g/cm³
1.0
-1.245 2.166 2.442
-0.752 -2.734 2.041
6.093 0.608 0.069
H Na Pd
2 2 1
Cartesian
2.569 -0.057 3.860
1.527 0.097 0.693
3.660 0.232 1.660
0.436 -0.193 2.892
0.000 0.000 0.000

***

Na2H2Pd meta-GGA SCAN PBEsol geometry; raw total energy = -9.247 eV/atom; size of the total moment = 0.0 Bohr magnetons per cell; space group = I4/mmm (139); density = 3.84 g/cm³
1.0
3.997 0.000 0.000
0.000 3.997 0.000
-1.998 -1.998 4.183
H Na Pd
2 2 1
Cartesian
1.998 0.000 2.092
0.000 1.998 2.092
1.998 1.998 1.326
0.000 0.000 2.858
0.000 0.000 0.000

***

NaH2Pd2 meta-GGA SCAN PBEsol geometry; raw total energy = -15.494 eV/atom; size of the total moment = 0.0 Bohr magnetons per cell; space group = I4/mmm (139); density = 6.30 g/cm³
1.0
3.665 0.000 0.000
0.000 3.665 0.000
-1.833 -1.833 4.666
H Pd Na
2 2 1
Cartesian
1.833 0.000 2.333
0.000 1.833 2.333
1.833 1.833 1.898
0.000 0.000 2.768
0.000 0.000 0.000

***

NaHPd3 meta-GGA SCAN PBEsol geometry; raw total energy = -21.353 eV/atom; size of the total moment = 0.0 Bohr magnetons per cell; space group = Amm2 (38); density = 8.98 g/cm³
1.0
2.749 0.000 0.000
0.000 4.989 0.002
0.000 -1.862 4.628
H Pd Na
1 3 1
Cartesian
1.374 1.125 2.612
1.374 2.642 1.587
0.000 1.641 3.948
0.000 0.078 1.633
1.374 -0.875 3.962

***

NaHPd3 meta-GGA SCAN PBEsol geometry; raw total energy = -19.490 eV/atom; size of the total moment = 0.0 Bohr magnetons per cell; space group = Pm-3m (221); density = 5.84 g/cm³
1.0
4.604 0.000 0.000
0.000 4.604 0.000
0.000 0.000 4.604
Pd H Na
3 1 1
Cartesian
0.000 0.000 2.302
2.302 0.000 0.000
0.000 2.302 0.000
2.302 2.302 2.302
0.000 0.000 0.000

***

NaH2Pd meta-GGA SCAN PBEsol geometry; raw total energy = -11.160 eV/atom; size of the total moment = 0.0 Bohr magnetons per cell; space group = I-42d (122); density = 4.70 g/cm³
1.0
-2.303 0.421 3.737
2.021 -3.557 1.646
3.573 4.351 -0.889
H Na Pd
4 2 2
Cartesian
2.759 0.854 2.905
1.648 -0.245 0.400
2.089 -1.920 2.147
4.410 -0.236 1.444
0.564 1.602 2.769
-0.141 -1.568 2.691
0.000 0.000 0.000
2.726 -0.387 1.724

***

NaH2Pd3 meta-GGA SCAN PBEsol geometry; raw total energy = -18.440 eV/atom; size of the total moment = 0.0 Bohr magnetons per cell; space group = Cmmm (65); density = 8.60 g/cm³
1.0
2.781 0.000 0.000
0.000 5.101 -0.003
0.000 -2.020 4.684
H Pd Na
2 3 1
Cartesian
0.000 3.556 1.014
0.000 -0.475 3.667
1.391 2.551 -0.001
0.000 0.000 0.000
1.391 -1.010 2.342
0.000 1.541 2.341

***

NaHPd3 meta-GGA SCAN PBEsol geometry; raw total energy = -21.329 eV/atom; size of the total moment = 0.0 Bohr magnetons per cell; space group = Pm-3m (221); density = 8.92 g/cm³
1.0
-0.875 -3.284 -2.105
0.761 -2.260 3.209
-3.826 0.301 1.120
H Pd Na
1 3 1
Cartesian
0.000 0.000 0.000
-1.913 0.151 0.560
0.381 -1.130 1.604
-0.437 -1.642 -1.053
-1.970 -2.621 1.112

***

NaSr2HPt meta-GGA SCAN PBEsol geometry; raw total energy = -24.927 eV/atom; size of the total moment = 0.0 Bohr magnetons per cell; space group = P4/mmm (123); density = 5.98 g/cm³
1.0
-1.213 1.960 -3.593
-3.383 -3.668 -0.859
-3.482 2.603 2.596
H Sr Na Pt
1 2 1 1
Cartesian
0.000 0.000 0.000
-1.691 -1.834 -0.430
-1.741 1.302 1.298
-0.607 0.980 -1.797
-4.039 0.448 -0.929

***

RbNaH2 meta-GGA SCAN PBEsol geometry; raw total energy = -8.186 eV/atom; size of the total moment = 0.0 Bohr magnetons per cell; space group = I-42d (122); density = 2.23 g/cm³
1.0
-5.011 -1.600 -2.941
5.043 -2.601 -2.029
-1.539 -5.792 0.626
H Rb Na
4 2 2
Cartesian
1.701 -1.993 -1.030
-1.562 -7.203 -3.978
0.312 -4.890 -2.255
-3.464 -5.901 -1.426
0.000 0.000 0.000
-1.629 -2.898 -1.821
1.752 -4.197 -0.702
0.122 -7.095 -2.523

***

Rb3NaH meta-GGA SCAN PBEsol geometry; raw total energy = -14.019 eV/atom; size of the total moment = 0.6 Bohr magnetons per cell; space group = Pm-3m (221); density = 1.99 g/cm³
1.0
-0.419 -4.955 -3.641
-2.106 -3.313 4.751
-5.777 1.567 -1.468
Rb H Na
3 1 1
Cartesian
-0.209 -2.477 -1.820
-2.888 0.783 -0.734
-1.053 -1.657 2.375
0.000 0.000 0.000
-4.151 -3.351 -0.179

***

Rb3NaH4 meta-GGA SCAN PBEsol geometry; raw total energy = -10.230 eV/atom; size of the total moment = 0.0 Bohr magnetons per cell; space group = Pm-3m (221); density = 2.55 g/cm³
1.0
-5.511 1.319 -0.566
-1.293 -3.582 4.234
0.625 4.226 3.766
Na H Rb
1 4 3
Cartesian
-3.089 0.981 3.717
-0.334 0.322 4.000
-3.402 -1.131 1.834
0.000 0.000 0.000
-2.443 2.772 1.600
0.312 2.113 1.883
-2.755 0.660 -0.283
-0.646 -1.791 2.117

***

RbNa2H meta-GGA SCAN PBEsol geometry; raw total energy = -8.087 eV/atom; size of the total moment = 0.9 Bohr magnetons per cell; space group = Fd-3m (227); density = 1.47 g/cm³
1.0
7.500 0.000 0.000
3.750 6.495 0.000
3.750 2.165 6.123
Rb Na H
2 4 2
Cartesian
7.500 4.330 3.062
11.249 6.495 4.593
5.625 1.082 0.765
3.750 4.330 0.765
1.875 1.082 0.765
3.750 2.165 3.827
3.750 2.165 1.531
0.000 0.000 0.000

***

RbNa3H4 meta-GGA SCAN PBEsol geometry; raw total energy = -6.074 eV/atom; size of the total moment = 0.0 Bohr magnetons per cell; space group = Pm-3m (221); density = 1.90 g/cm³
1.0
5.177 0.000 0.000
0.000 5.177 0.000
0.000 0.000 5.177
H Na Rb
4 3 1
Cartesian
0.000 0.000 0.000
2.589 2.589 0.000
2.589 0.000 2.589
0.000 2.589 2.589
2.589 0.000 0.000
0.000 2.589 0.000
0.000 0.000 2.589
2.589 2.589 2.589

***

RbNa2H meta-GGA SCAN PBEsol geometry; raw total energy = -7.649 eV/atom; size of the total moment = 0.0 Bohr magnetons per cell; space group = Fm-3m (225); density = 1.58 g/cm³
1.0
5.816 0.000 0.000
2.908 5.037 0.000
2.908 1.679 4.749
Rb Na H
1 2 1
Cartesian
5.816 3.358 2.375
2.908 1.679 1.187
8.725 5.037 3.562
0.000 0.000 0.000

***

RbNaRe2H meta-GGA SCAN PBEsol geometry; raw total energy = -33.015 eV/atom; size of the total moment = 0.0 Bohr magnetons per cell; space group = P4/mmm (123); density = 9.67 g/cm³
1.0
3.803 0.000 0.000
0.000 3.803 0.000
0.000 0.000 5.718
Re H Na Rb
2 1 1 1
Cartesian
1.902 0.000 0.000
0.000 1.902 0.000
0.000 0.000 0.000
1.902 1.902 2.859
0.000 0.000 2.859